Entry 1:
Density functional theory data (GGA-PBE) for a relaxed Ta3Mo2 crystal.

a = 5.3845 Å, b = 5.3845 Å, c = 5.4173 Å
α = 86.00°, β = 83.75°, γ = 145.12°
Positions (direct):
Ta 0.3982 0.2094 0.3924
Ta 0.2018 0.5906 0.2076
Ta 0.8000 0.4000 0.8000
Mo 0.0036 0.0044 0.9920
Mo 0.5964 0.7956 0.6080

Values from the calculation:
energy above the lowest structure with this stoichiometry = 29 meV per atom
space group = C2/m, No. 12
energy relative to the elements = -0.147 eV/atom


Entry 2:
Density functional theory data (GGA-PBE) for a relaxed TaMo2 crystal.

a = 5.4133 Å, b = 4.5827 Å, c = 8.0954 Å
α = 90.00°, β = 90.00°, γ = 90.00°
Positions (direct):
Ta 0.6687 0.2500 0.5773
Ta 0.3313 0.7500 0.4227
Ta 0.8313 0.7500 0.0773
Ta 0.1687 0.2500 0.9227
Mo 0.6696 0.2500 0.9215
Mo 0.1696 0.2500 0.5785
Mo 0.8304 0.7500 0.4215
Mo 0.0094 0.2500 0.2557
Mo 0.4906 0.7500 0.7557
Mo 0.5094 0.2500 0.2443
Mo 0.9906 0.7500 0.7443
Mo 0.3304 0.7500 0.0785

Values from the calculation:
space group = Pnma, No. 62
energy relative to the elements = 0.030 eV/atom


Entry 3:
Density functional theory data (GGA-PBE) for a relaxed Ta3Mo crystal.

a = 5.7143 Å, b = 5.7143 Å, c = 5.1114 Å
α = 90.00°, β = 90.00°, γ = 120.00°
Positions (direct):
Mo 0.3333 0.6667 0.2500
Mo 0.6667 0.3333 0.7500
Ta 0.8323 0.1677 0.2500
Ta 0.6646 0.8323 0.7500
Ta 0.8323 0.6646 0.2500
Ta 0.1677 0.3354 0.7500
Ta 0.1677 0.8323 0.7500
Ta 0.3354 0.1677 0.2500

Values from the calculation:
energy above the lowest structure with this stoichiometry = 410 meV per atom
space group = P6_3/mmc, No. 194
energy relative to the elements = 0.296 eV/atom


Entry 4:
Density functional theory data (GGA-PBE) for a relaxed Ta2Mo crystal.

a = 2.8735 Å, b = 2.8735 Å, c = 6.9541 Å
α = 97.64°, β = 97.64°, γ = 110.91°
Positions (direct):
Mo 0.0000 0.0000 0.0000
Ta 0.3375 0.3375 0.6750
Ta 0.6625 0.6625 0.3250

Values from the calculation:
energy above the lowest structure with this stoichiometry = 86 meV per atom
space group = Fmmm, No. 69
energy relative to the elements = -0.070 eV/atom


Entry 5:
Density functional theory data (GGA-PBE) for a relaxed Ta2Mo crystal.

a = 5.3727 Å, b = 5.3727 Å, c = 5.3727 Å
α = 60.00°, β = 60.00°, γ = 60.00°
Positions (direct):
Ta 0.6250 0.1250 0.6250
Ta 0.6250 0.6250 0.1250
Ta 0.1250 0.6250 0.6250
Ta 0.6250 0.6250 0.6250
Mo 0.0000 0.0000 0.0000
Mo 0.2500 0.2500 0.2500

Values from the calculation:
energy above the lowest structure with this stoichiometry = 540 meV per atom
space group = Fd-3m, No. 227
energy relative to the elements = 0.384 eV/atom


Entry 6:
Density functional theory data (GGA-PBE) for a relaxed Ta3Mo5 crystal.

a = 3.2067 Å, b = 22.2938 Å, c = 3.2067 Å
α = 54.88°, β = 90.00°, γ = 54.88°
Positions (direct):
Mo 0.9675 0.0081 0.9675
Mo 0.0116 0.6221 0.0116
Mo 0.0280 0.3680 0.0280
Mo 0.9966 0.2508 0.9966
Mo 0.9945 0.1264 0.9945
Ta 0.0186 0.7453 0.0186
Ta 0.9730 0.8818 0.9730
Ta 0.0101 0.4975 0.0101

Values from the calculation:
energy above the lowest structure with this stoichiometry = 52 meV per atom
space group = P4mm, No. 99
energy relative to the elements = -0.140 eV/atom


Entry 7:
Density functional theory data (GGA-PBE) for a relaxed TaMo2 crystal.

a = 10.3713 Å, b = 10.3713 Å, c = 10.3713 Å
α = 161.99°, β = 161.99°, γ = 25.58°
Positions (direct):
Mo 0.5775 0.5775 0.0000
Mo 0.3275 0.8275 0.5000
Mo 0.1725 0.6725 0.5000
Mo 0.4225 0.4225 0.0000
Ta 0.0000 0.0000 0.0000
Ta 0.7500 0.2500 0.5000

Values from the calculation:
space group = I4_1/amd, No. 141
energy relative to the elements = 0.473 eV/atom


Entry 8:
Density functional theory data (GGA-PBE) for a relaxed Ta3Mo5 crystal.

a = 4.5457 Å, b = 4.5457 Å, c = 6.4245 Å
α = 90.00°, β = 90.00°, γ = 90.00°
Positions (direct):
Mo 0.0000 0.0000 0.5000
Mo 0.5000 0.0000 0.2488
Mo 0.0000 0.5000 0.7512
Mo 0.5000 0.5000 0.0000
Mo 0.0000 0.0000 0.0000
Ta 0.5000 0.0000 0.7551
Ta 0.0000 0.5000 0.2449
Ta 0.5000 0.5000 0.5000

Values from the calculation:
energy above the lowest structure with this stoichiometry = 66 meV per atom
space group = P-4m2, No. 115
energy relative to the elements = -0.126 eV/atom


Entry 9:
Density functional theory data (GGA-PBE) for a relaxed Ta3Mo crystal.

a = 2.8909 Å, b = 4.5840 Å, c = 5.4170 Å
α = 90.00°, β = 78.82°, γ = 90.00°
Positions (direct):
Ta 0.7740 0.5000 0.7555
Ta 0.5000 0.0000 0.5000
Ta 0.2260 0.5000 0.2445
Mo 0.0000 0.0000 0.0000

Values from the calculation:
energy above the lowest structure with this stoichiometry = 48 meV per atom
space group = P2/m, No. 10
energy relative to the elements = -0.066 eV/atom


Entry 10:
Density functional theory data (GGA-PBE) for a relaxed TaMo4 crystal.

a = 2.7832 Å, b = 13.8132 Å, c = 5.2975 Å
α = 29.30°, β = 121.69°, γ = 109.79°
Positions (direct):
Mo 0.9971 0.3978 0.0054
Mo 0.9917 0.0042 0.9894
Mo 0.0029 0.2022 0.9946
Mo 0.0083 0.5958 0.0106
Ta 0.0000 0.8000 0.0000

Values from the calculation:
energy above the lowest structure with this stoichiometry = 40 meV per atom
space group = C2/m, No. 12
energy relative to the elements = -0.085 eV/atom


Entry 11:
Density functional theory data (GGA-PBE) for a relaxed Ta2Mo crystal.

a = 4.3723 Å, b = 4.3723 Å, c = 3.1779 Å
α = 90.00°, β = 90.00°, γ = 90.00°
Positions (direct):
Ta 0.5000 0.0000 0.5000
Ta 0.0000 0.5000 0.5000
Mo 0.0000 0.0000 0.0000

Values from the calculation:
energy above the lowest structure with this stoichiometry = 815 meV per atom
space group = P4/mmm, No. 123
energy relative to the elements = 0.659 eV/atom


Entry 12:
Density functional theory data (GGA-PBE) for a relaxed Ta3Mo4 crystal.

a = 5.3161 Å, b = 5.3161 Å, c = 5.3376 Å
α = 84.99°, β = 84.99°, γ = 51.26°
Positions (direct):
Mo 0.9984 0.9984 0.0005
Mo 0.5713 0.5713 0.7195
Mo 0.1430 0.1430 0.4234
Mo 0.7158 0.7158 0.1424
Ta 0.2834 0.2834 0.8555
Ta 0.4309 0.4309 0.2873
Ta 0.8571 0.8571 0.5714

Values from the calculation:
space group = C2/m, No. 12
energy relative to the elements = -0.118 eV/atom